# 1
VASP calculation (GGA-PBE) on crystalline La2GeI2 at its relaxed geometry.

Calculated values
Space-group type: Cmc2_1, No. 36
Raw formation energy (eV/atom): -1.017

Geometry as POSCAR:
```
La2GeI2
1.0
-3.015 0.072 -3.087
-3.013 -4.298 5.860
-4.484 9.413 4.599
Ge I La
2 4 4
direct
0.650 0.301 0.986
0.350 0.699 0.486
0.363 0.727 0.832
0.637 0.273 0.332
0.098 0.197 0.631
0.902 0.803 0.131
0.768 0.536 0.637
0.037 0.074 0.900
0.232 0.464 0.137
0.963 0.926 0.400
```

# 2
VASP calculation (GGA-PBE) on crystalline LaTbNd2Ho2 at its relaxed geometry.

Calculated values
ΔE_f (meV per atom): 61.5
Space-group type: Pnnm, No. 58

Geometry as POSCAR:
```
LaTbNd2Ho2
1.0
5.714 0.000 0.000
0.000 9.947 0.000
0.000 0.000 7.071
La Ho Nd Tb
2 4 4 2
direct
0.500 0.500 0.500
0.000 0.000 0.000
0.000 0.334 0.750
0.500 0.166 0.250
0.500 0.834 0.750
0.000 0.666 0.250
0.500 0.833 0.253
0.000 0.333 0.247
0.000 0.667 0.753
0.500 0.167 0.747
0.000 0.000 0.500
0.500 0.500 0.000
```

no.,E_tot (eV/atom)
1,-4.53
2,-4.65